Computed, not measured: crystalline CrSbH at its relaxed geometry at the PBE level of DFT.

Cell: 3.753 3.753 7.340 Å, 90.00 90.00 90.00°
Site moments in Bohr magnetons follow the coordinates.
Atoms (fractional coordinates):
Sb (0.000, 0.500, 0.258)  -0.02
Sb (0.500, 0.000, 0.742)  -0.02
H (0.000, 0.500, 0.023)  0.00
H (0.500, 0.000, 0.977)  0.00
Cr (0.000, 0.000, 0.500)  0.37
Cr (0.500, 0.500, 0.500)  0.37

* calculated volume: 103.4 Å³/cell
* offset from the most stable computed form: 0.407 eV per atom
* total DFT energy (no corrections): -31.2 eV per cell
* Fermi-level density of states: 4.265 states/eV/cell
* total magnetization: 0.3 μB/f.u.

---

Computed, not measured: crystalline Cr3SbH at its relaxed geometry at the PBE level of DFT.

Cell: 3.884 3.884 3.884 Å, 90.00 90.00 90.00°
Site moments in Bohr magnetons follow the coordinates.
Atoms (fractional coordinates):
Sb (0.500, 0.500, 0.500)  -0.07
H (0.000, 0.000, 0.000)  -0.01
Cr (0.000, 0.500, 0.000)  1.21
Cr (0.000, 0.000, 0.500)  1.28
Cr (0.500, 0.000, 0.000)  1.35

* calculated volume: 58.6 Å³/cell
* offset from the most stable computed form: 0.000 eV per atom
* total DFT energy (no corrections): -35.3 eV per cell
* Fermi-level density of states: 9.483 states/eV/cell
* total magnetization: 4.0 μB/f.u.

---

Computed, not measured: crystalline CrSbH at its relaxed geometry at the PBE level of DFT.

Cell: 4.610 5.198 8.362 Å, 90.00 109.79 90.00°
Atoms (fractional coordinates):
Sb (0.610, 0.942, 0.784)
Sb (0.890, 0.442, 0.216)
Sb (0.390, 0.058, 0.216)
Sb (0.110, 0.558, 0.784)
H (0.010, 0.887, 0.383)
H (0.490, 0.387, 0.617)
H (0.990, 0.113, 0.617)
H (0.510, 0.613, 0.383)
Cr (0.753, 0.859, 0.501)
Cr (0.747, 0.359, 0.498)
Cr (0.247, 0.141, 0.498)
Cr (0.253, 0.641, 0.501)

* calculated volume: 188.5 Å³/cell
* offset from the most stable computed form: 0.000 eV per atom
* total DFT energy (no corrections): -67.2 eV per cell
* Fermi-level density of states: 6.812 states/eV/cell
* total magnetization: 0.0 μB/f.u.

---

Computed, not measured: crystalline CrSb3H at its relaxed geometry at the PBE level of DFT.

Cell: 4.958 4.958 4.958 Å, 90.00 90.00 90.00°
Site moments in Bohr magnetons follow the coordinates.
Atoms (fractional coordinates):
Sb (0.000, 0.500, 0.000)  0.00
Sb (0.000, 0.000, 0.500)  -0.10
Sb (0.500, 0.000, 0.000)  0.05
H (0.500, 0.500, 0.500)  0.07
Cr (0.000, 0.000, 0.000)  -1.00

* calculated volume: 121.9 Å³/cell
* offset from the most stable computed form: 0.142 eV per atom
* total DFT energy (no corrections): -21.7 eV per cell
* Fermi-level density of states: 3.506 states/eV/cell
* total magnetization: 1.1 μB/f.u.

---

Computed, not measured: crystalline Cr3SbH at its relaxed geometry at the PBE level of DFT.

Cell: 5.290 5.290 5.290 Å, 90.00 90.00 90.00°
Site moments in Bohr magnetons follow the coordinates.
Atoms (fractional coordinates):
Sb (0.000, 0.000, 0.000)  -0.12
H (0.500, 0.500, 0.500)  -0.14
Cr (0.000, 0.500, 0.000)  4.10
Cr (0.000, 0.000, 0.500)  4.18
Cr (0.500, 0.000, 0.000)  4.01

* calculated volume: 148.0 Å³/cell
* offset from the most stable computed form: 1.314 eV per atom
* total DFT energy (no corrections): -28.7 eV per cell
* Fermi-level density of states: 0.000 states/eV/cell
* total magnetization: 14.0 μB/f.u.

---

Computed, not measured: crystalline CrSnSbH2 at its relaxed geometry at the PBE level of DFT.

Cell: 3.943 6.160 3.943 Å, 90.00 90.00 90.00°
Site moments in Bohr magnetons follow the coordinates.
Atoms (fractional coordinates):
Sb (0.000, 0.000, 0.000)  -0.04
Sn (0.000, 0.500, 0.000)  -0.15
H (0.000, 0.000, 0.500)  0.00
H (0.500, 0.000, 0.000)  0.01
Cr (0.500, 0.500, 0.500)  3.61

* calculated volume: 95.8 Å³/cell
* total DFT energy (no corrections): -21.5 eV per cell
* Fermi-level density of states: 2.929 states/eV/cell
* total magnetization: 3.8 μB/f.u.